No. 1
The following is a DFT calculation (GGA-PBE) of crystalline MnP2Se at its relaxed geometry.

Total energy = -5.37 eV per atom

a = 4.4877 Å, b = 4.4877 Å, c = 3.2927 Å
α = 90.00°, β = 90.00°, γ = 105.60°
With the nearest neighbours (Å) after each atom.
Fractional coordinates of all 4 atoms:
Mn 0.0000 0.5000 0.5000  2 Se 2.71, 8 P 2.78
P 0.5000 0.5000 0.0000  2 P 2.71, 4 Mn 2.78, 4 Se 2.78
P 0.0000 0.0000 0.0000  2 P 2.71, 4 Se 2.78, 4 Mn 2.78
Se 0.5000 0.0000 0.5000  2 Mn 2.71, 8 P 2.78

=====

No. 2
The following is a DFT calculation (GGA-PBE) of crystalline U2Sn2S7 at its relaxed geometry.

Energy above the most stable polymorph in this dataset = 0 meV per atom

a = 3.7797 Å, b = 8.7292 Å, c = 8.7292 Å
α = 60.12°, β = 77.50°, γ = 77.50°
With the nearest neighbours (Å) after each atom.
Fractional coordinates of all 11 atoms:
U 0.7394 0.8445 0.6767  7 S 2.66-2.88
U 0.2606 0.3233 0.1555  7 S 2.66-2.88
Sn 0.0000 0.8218 0.1782  4 S 2.62-2.73
Sn 0.5000 0.3299 0.6701  1 S 2.63
S 0.8475 0.4234 0.8816  2 U 2.80, 2 Sn 2.97
S 0.5000 0.0291 0.9709  3 Sn 2.62-2.63
S 0.3672 0.7281 0.5376  2 U 2.66
S 0.6328 0.4624 0.2719  2 U 2.66
S 0.1525 0.1184 0.5766  2 U 2.80, 2 Sn 2.97
S 0.8177 0.0688 0.2957  3 U 2.69-2.88, 1 Sn 2.73
S 0.1823 0.7043 0.9312  3 U 2.69-2.88, 1 Sn 2.73

=====

No. 3
The following is a DFT calculation (GGA-PBE) of crystalline Sm4Dy4Tm at its relaxed geometry.

Energy above the most stable polymorph in this dataset = 90 meV per atom
Formation energy = 0.107 eV/atom

a = 5.5688 Å, b = 8.8194 Å, c = 8.9611 Å
α = 45.17°, β = 71.90°, γ = 71.60°
With the nearest neighbours (Å) after each atom.
Fractional coordinates of all 9 atoms:
Dy 0.9265 0.7680 0.3789  4 Sm 3.33-3.71, 3 Dy 3.40-3.45, 2 Tm 3.67-3.68
Dy 0.6288 0.4291 0.3133  5 Sm 3.35-3.74, 2 Dy 3.40, 1 Tm 3.58
Dy 0.0735 0.2320 0.6211  4 Sm 3.33-3.71, 3 Dy 3.40-3.45, 2 Tm 3.67-3.68
Dy 0.3712 0.5709 0.6867  5 Sm 3.35-3.74, 2 Dy 3.40, 1 Tm 3.58
Sm 0.8677 0.3029 0.9617  5 Dy 3.33-3.71, 3 Sm 3.51-3.53, 2 Tm 3.63
Sm 0.2817 0.1489 0.2878  4 Dy 3.35-3.74, 1 Tm 3.42, 3 Sm 3.51-3.53
Sm 0.7183 0.8511 0.7122  4 Dy 3.35-3.74, 1 Tm 3.42, 3 Sm 3.51-3.53
Sm 0.1323 0.6971 0.0383  5 Dy 3.33-3.71, 3 Sm 3.51-3.53, 2 Tm 3.63
Tm 0.5000 0.0000 0.0000  6 Sm 3.42-3.63, 6 Dy 3.58-3.68